Computed, not measured: a geometry-optimized Li3CuRh structure at the PBE level of DFT.

Summary:
Its energy above the most stable polymorph in this dataset is 0.0 meV per atom. Its formation energy from the elements is -0.037 eV/atom. Its density of states at the Fermi level is 2.56 states/eV/f.u. The crystal system is triclinic. The spin magnetization comes out at 0.00 μB per formula unit.

Lattice parameters (Å, degrees): 4.3795 4.7161 7.2491 89.94 72.48 90.00
Space group P-1 (No. 2)
Asymmetric unit:
Li 0.0000 0.0000 0.0000 x1
Li 0.0000 0.5000 0.0000 x1
Li 0.2468 0.2481 0.5031 x2
Li 0.3657 0.7482 0.2722 x2
Cu 0.1575 0.7467 0.6880 x2
Rh 0.4463 0.2492 0.1053 x2